1.
A geometry-optimized AlTlW2 structure. Source: Alexandria via LeMat-Bulk, functional PBE-GGA.

Results
Total magnetic moment: 0.00 μB per atom

Unit cell a=3.240 b=4.823 c=9.659 alpha=90.00 beta=90.00 gamma=90.00
Space group Cmm2 (No. 35)
One atom of each set of equivalent atoms:
Al: 0.000 0.000 0.000 (multiplicity 2)
Tl: 0.000 0.500 0.710 (multiplicity 2)
W: 0.000 0.000 0.433 (multiplicity 2)
W: 0.000 0.500 0.221 (multiplicity 2)

2.
A geometry-optimized AlTlW2 structure. Source: Alexandria via LeMat-Bulk, functional PBE-GGA.

Results
Total magnetic moment: 0.00 μB per atom

Unit cell a=9.634 b=2.861 c=5.145 alpha=90.00 beta=97.39 gamma=90.00
Space group Cm (No. 8)
One atom of each set of equivalent atoms:
Al: 0.000 0.000 0.000 (multiplicity 2)
Tl: 0.243 0.000 0.750 (multiplicity 2)
W: 0.239 0.500 0.248 (multiplicity 2)
W: 0.490 0.000 0.471 (multiplicity 2)

3.
A geometry-optimized AlTlW2 structure. Source: Alexandria via LeMat-Bulk, functional PBE-GGA.

Results
Total magnetic moment: 0.00 μB per atom

Unit cell a=4.902 b=4.902 c=2.888 alpha=90.00 beta=90.00 gamma=90.00
Space group P4/mmm (No. 123)
One atom of each set of equivalent atoms:
Al: 0.000 0.000 0.000 (multiplicity 1)
Tl: 0.500 0.500 0.000 (multiplicity 1)
W: 0.000 0.500 0.500 (multiplicity 2)

Most stable pick: 1. Distance to second place: 17.2 kJ/mol of atoms.